# 1
Computed, not measured: a geometry-optimized CaSb2O2 structure at the PBE level of DFT.

abc: 6.613 6.613 4.392
angles: 90.00 90.00 90.00
Fractional positions:
Sb (0.337, 0.163, 0.500)
Sb (0.837, 0.337, 0.500)
Sb (0.163, 0.663, 0.500)
Sb (0.663, 0.837, 0.500)
O (0.804, 0.304, 0.000)
O (0.196, 0.696, 0.000)
O (0.304, 0.196, 0.000)
O (0.696, 0.804, 0.000)
Ca (0.000, 0.000, 0.000)
Ca (0.500, 0.500, 0.000)

Calculated values
Spin magnetization, μB/atom: 0.0000
Raw total energy, eV/atom: -5.2963
Polymorph energy (0 for the lowest one), kJ/mol of atoms: 0.0
Symmetry: P4/mbm (127)
Formation energy from raw total energies, eV/f.u.: -6.3
N(E_F), states/eV per cell: 2.55



# 2
Computed, not measured: a geometry-optimized CaSb2O6 structure at the PBE level of DFT.

abc: 5.316 5.316 5.107
angles: 90.00 90.00 120.00
Fractional positions:
Ca (0.000, 0.000, 0.000)
O (0.632, 0.632, 0.717)
O (0.368, 0.368, 0.283)
O (0.000, 0.632, 0.283)
O (0.000, 0.368, 0.717)
O (0.368, 0.000, 0.717)
O (0.632, 0.000, 0.283)
Sb (0.667, 0.333, 0.500)
Sb (0.333, 0.667, 0.500)

Calculated values
Spin magnetization, μB/atom: 0.0000
Raw total energy, eV/atom: -6.3497
Polymorph energy (0 for the lowest one), kJ/mol of atoms: 0.0
Symmetry: P-31m (162)
Formation energy from raw total energies, eV/f.u.: -17.2
N(E_F), states/eV per cell: 0.00



# 3
Computed, not measured: a geometry-optimized CaSbO2 structure at the PBE level of DFT.

abc: 6.876 6.876 6.876
angles: 28.70 28.70 28.70
Fractional positions:
Sb (0.000, 0.000, 0.000)
Ca (0.500, 0.500, 0.500)
O (0.896, 0.896, 0.896)
O (0.104, 0.104, 0.104)

Calculated values
Spin magnetization, μB/atom: 0.0000
Raw total energy, eV/atom: -5.8696
Symmetry: R-3m (166)
Formation energy from raw total energies, eV/f.u.: -7.4
N(E_F), states/eV per cell: 0.96



# 4
Computed, not measured: a geometry-optimized Ca2SbO2 structure at the PBE level of DFT.

abc: 4.649 4.649 6.092
angles: 67.57 67.57 90.00
Fractional positions:
Sb (0.000, 0.000, 0.000)
Ca (0.250, 0.750, 0.500)
Ca (0.750, 0.250, 0.500)
O (0.774, 0.774, 0.453)
O (0.226, 0.226, 0.547)

Calculated values
Spin magnetization, μB/atom: 0.0000
Raw total energy, eV/atom: -5.5585
Polymorph energy (0 for the lowest one), kJ/mol of atoms: 0.0
Symmetry: I4/mmm (139)
Formation energy from raw total energies, eV/f.u.: -9.8
N(E_F), states/eV per cell: 1.94



# 5
Computed, not measured: a geometry-optimized Ca3SbO structure at the PBE level of DFT.

abc: 4.821 4.821 4.821
angles: 90.00 90.00 90.00
Fractional positions:
Ca (0.000, 0.500, 0.000)
Ca (0.000, 0.000, 0.500)
Ca (0.500, 0.000, 0.000)
Sb (0.500, 0.500, 0.500)
O (0.000, 0.000, 0.000)

Calculated values
Spin magnetization, μB/atom: 0.0000
Raw total energy, eV/atom: -4.6324
Polymorph energy (0 for the lowest one), kJ/mol of atoms: 0.0
Symmetry: Pm-3m (221)
Formation energy from raw total energies, eV/f.u.: -8.1
N(E_F), states/eV per cell: 3.19



# 6
Computed, not measured: a geometry-optimized Ca6Sb3O structure at the PBE level of DFT.

abc: 7.213 9.597 9.597
angles: 102.47 90.00 90.00
Fractional positions:
Ca (0.705, 0.643, 0.676)
Ca (0.205, 0.357, 0.324)
Ca (0.164, 0.404, 0.887)
Ca (0.664, 0.887, 0.404)
Ca (0.637, 0.946, 0.054)
Ca (0.712, 0.217, 0.783)
Ca (0.705, 0.324, 0.357)
Ca (0.137, 0.054, 0.946)
Ca (0.205, 0.676, 0.643)
Ca (0.664, 0.596, 0.113)
Ca (0.212, 0.783, 0.217)
Ca (0.164, 0.113, 0.596)
Sb (0.429, 0.383, 0.617)
Sb (0.975, 0.071, 0.286)
Sb (0.475, 0.929, 0.714)
Sb (0.975, 0.714, 0.929)
Sb (0.475, 0.286, 0.071)
Sb (0.929, 0.617, 0.383)
O (0.019, 0.194, 0.806)
O (0.519, 0.806, 0.194)

Calculated values
Spin magnetization, μB/atom: 0.0012
Raw total energy, eV/atom: -4.2204
Symmetry: Cmc2_1 (36)
Formation energy from raw total energies, eV/f.u.: -12.9
N(E_F), states/eV per cell: 9.40



# 7
Computed, not measured: a geometry-optimized Ca12Sb3O5 structure at the PBE level of DFT.

abc: 13.809 13.809 13.809
angles: 109.47 109.47 109.47
Each line ends with the local moment (μB).
Fractional positions:
Ca (0.397, 0.388, 0.585)  0.05
Ca (0.812, 0.897, 0.008)  0.05
Ca (0.188, 0.103, 0.992)  0.05
Ca (0.492, 0.688, 0.103)  0.05
Ca (0.103, 0.915, 0.112)  0.05
Ca (0.188, 0.085, 0.696)  0.05
Ca (0.612, 0.603, 0.915)  0.05
Ca (0.085, 0.188, 0.196)  0.05
Ca (0.804, 0.492, 0.388)  0.05
Ca (0.112, 0.415, 0.103)  0.05
Ca (0.804, 0.312, 0.915)  0.05
Ca (0.585, 0.888, 0.397)  0.05
Ca (0.696, 0.112, 0.008)  0.05
Ca (0.312, 0.804, 0.415)  0.05
Ca (0.312, 0.508, 0.397)  0.05
Ca (0.196, 0.688, 0.085)  0.05
Ca (0.888, 0.585, 0.897)  0.05
Ca (0.388, 0.397, 0.085)  0.05
Ca (0.992, 0.603, 0.188)  0.05
Ca (0.008, 0.612, 0.696)  0.05
Ca (0.688, 0.492, 0.603)  0.05
Ca (0.696, 0.585, 0.188)  0.05
Ca (0.897, 0.812, 0.508)  0.05
Ca (0.812, 0.915, 0.304)  0.05
Ca (0.304, 0.888, 0.992)  0.05
Ca (0.603, 0.992, 0.688)  0.05
Ca (0.897, 0.085, 0.888)  0.05
Ca (0.508, 0.196, 0.112)  0.05
Ca (0.492, 0.804, 0.888)  0.05
Ca (0.397, 0.008, 0.312)  0.05
Ca (0.196, 0.508, 0.612)  0.05
Ca (0.612, 0.008, 0.196)  0.05
Ca (0.992, 0.388, 0.304)  0.05
Ca (0.388, 0.992, 0.804)  0.05
Ca (0.103, 0.188, 0.492)  0.05
Ca (0.415, 0.112, 0.603)  0.05
Ca (0.415, 0.304, 0.312)  0.05
Ca (0.304, 0.415, 0.812)  0.05
Ca (0.603, 0.612, 0.415)  0.05
Ca (0.008, 0.397, 0.812)  0.05
Ca (0.112, 0.696, 0.508)  0.05
Ca (0.508, 0.312, 0.897)  0.05
Ca (0.688, 0.196, 0.585)  0.05
Ca (0.585, 0.696, 0.688)  0.05
Ca (0.085, 0.897, 0.388)  0.05
Ca (0.915, 0.103, 0.612)  0.05
Ca (0.888, 0.304, 0.492)  0.05
Ca (0.915, 0.812, 0.804)  0.05
Sb (0.750, 0.375, 0.125)  0.00
Sb (0.375, 0.625, 0.250)  0.00
Sb (0.625, 0.250, 0.375)  0.00
Sb (0.875, 0.125, 0.250)  0.00
Sb (0.125, 0.875, 0.750)  0.00
Sb (0.125, 0.250, 0.875)  0.00
Sb (0.250, 0.625, 0.875)  0.00
Sb (0.875, 0.750, 0.125)  0.00
Sb (0.625, 0.375, 0.750)  0.00
Sb (0.750, 0.875, 0.625)  0.00
Sb (0.375, 0.750, 0.625)  0.00
Sb (0.250, 0.125, 0.375)  0.00
O (0.750, 0.625, 0.375)  0.03
O (0.375, 0.250, 0.125)  0.03
O (0.375, 0.125, 0.750)  0.03
O (0.500, 0.500, 0.500)  0.02
O (0.000, 0.500, 0.000)  0.02
O (0.125, 0.375, 0.250)  0.03
O (0.875, 0.625, 0.750)  0.03
O (0.625, 0.875, 0.250)  0.03
O (0.250, 0.875, 0.125)  0.03
O (0.250, 0.375, 0.625)  0.03
O (0.750, 0.125, 0.875)  0.03
O (0.625, 0.750, 0.875)  0.03
O (0.875, 0.250, 0.625)  0.03
O (0.500, 0.500, 0.000)  0.02
O (0.500, 0.000, 0.000)  0.02
O (0.000, 0.000, 0.500)  0.02
O (0.000, 0.500, 0.500)  0.02
O (0.000, 0.000, 0.000)  0.02
O (0.125, 0.750, 0.375)  0.03
O (0.500, 0.000, 0.500)  0.02

Calculated values
Spin magnetization, μB/atom: 0.1496
Raw total energy, eV/atom: -4.7345
Symmetry: Ia-3d (230)
Formation energy from raw total energies, eV/f.u.: -33.5
N(E_F), states/eV per cell: 32.10



# 8
Computed, not measured: a geometry-optimized CaSb2O5 structure at the PBE level of DFT.

abc: 3.854 5.184 13.735
angles: 90.00 90.00 90.00
Fractional positions:
Sb (0.000, 0.929, 0.863)
Sb (0.000, 0.929, 0.137)
Sb (0.500, 0.071, 0.637)
Sb (0.500, 0.071, 0.363)
Ca (0.000, 0.592, 0.500)
Ca (0.500, 0.408, 0.000)
O (0.000, 0.088, 0.000)
O (0.500, 0.912, 0.500)
O (0.500, 0.427, 0.601)
O (0.000, 0.573, 0.899)
O (0.000, 0.950, 0.339)
O (0.500, 0.050, 0.161)
O (0.500, 0.427, 0.399)
O (0.000, 0.573, 0.101)
O (0.000, 0.950, 0.661)
O (0.500, 0.050, 0.839)

Calculated values
Spin magnetization, μB/atom: 0.0000
Raw total energy, eV/atom: -5.9915
Polymorph energy (0 for the lowest one), kJ/mol of atoms: 0.0
Symmetry: Pmmn (59)
Formation energy from raw total energies, eV/f.u.: -12.9
N(E_F), states/eV per cell: 2.18



# 9
Computed, not measured: a geometry-optimized CaSbO3 structure at the PBE level of DFT.

abc: 4.136 4.136 4.136
angles: 90.00 90.00 90.00
Fractional positions:
O (0.000, 0.500, 0.000)
O (0.500, 0.000, 0.000)
O (0.000, 0.000, 0.500)
Ca (0.500, 0.500, 0.500)
Sb (0.000, 0.000, 0.000)

Calculated values
Spin magnetization, μB/atom: 0.0000
Raw total energy, eV/atom: -6.0159
Symmetry: Pm-3m (221)
Formation energy from raw total energies, eV/f.u.: -9.1
N(E_F), states/eV per cell: 0.69



# 10
Computed, not measured: a geometry-optimized CaSb2O5 structure at the PBE level of DFT.

abc: 5.974 5.974 13.284
angles: 90.00 90.00 140.72
Fractional positions:
O (0.236, 0.764, 0.411)
O (0.236, 0.764, 0.089)
O (0.047, 0.953, 0.868)
O (0.953, 0.047, 0.132)
O (0.709, 0.291, 0.250)
O (0.291, 0.709, 0.750)
O (0.953, 0.047, 0.368)
O (0.047, 0.953, 0.632)
O (0.764, 0.236, 0.911)
O (0.764, 0.236, 0.589)
Ca (0.912, 0.088, 0.750)
Ca (0.088, 0.912, 0.250)
Sb (0.790, 0.210, 0.393)
Sb (0.210, 0.790, 0.607)
Sb (0.790, 0.210, 0.107)
Sb (0.210, 0.790, 0.893)

Calculated values
Spin magnetization, μB/atom: 0.0000
Raw total energy, eV/atom: -5.9564
Polymorph energy (0 for the lowest one), kJ/mol of atoms: 3.4
Symmetry: Cmcm (63)
Formation energy from raw total energies, eV/f.u.: -12.6
N(E_F), states/eV per cell: 1.80



# 11
Computed, not measured: a geometry-optimized Ca7Sb3O2 structure at the PBE level of DFT.

abc: 4.639 4.801 13.398
angles: 100.32 90.00 90.00
Fractional positions:
Ca (0.500, 0.903, 0.806)
Ca (0.000, 0.405, 0.810)
Ca (0.000, 0.800, 0.599)
Ca (0.000, 0.595, 0.190)
Ca (0.000, 0.000, 0.000)
Ca (0.500, 0.097, 0.194)
Ca (0.000, 0.200, 0.401)
Sb (0.500, 0.683, 0.366)
Sb (0.500, 0.317, 0.634)
Sb (0.500, 0.500, 0.000)
O (0.000, 0.910, 0.821)
O (0.000, 0.090, 0.179)

Calculated values
Spin magnetization, μB/atom: 0.0000
Raw total energy, eV/atom: -4.5968
Polymorph energy (0 for the lowest one), kJ/mol of atoms: 5.7
Symmetry: Cmmm (65)
Formation energy from raw total energies, eV/f.u.: -18.9
N(E_F), states/eV per cell: 3.17



# 12
Computed, not measured: a geometry-optimized Ca10Sb4O3 structure at the PBE level of DFT.

abc: 4.744 4.744 18.519
angles: 97.36 97.36 90.00
Fractional positions:
Sb (0.302, 0.302, 0.603)
Sb (0.698, 0.698, 0.397)
Sb (0.433, 0.433, 0.866)
Sb (0.567, 0.567, 0.134)
Ca (0.636, 0.136, 0.273)
Ca (0.500, 0.000, 0.000)
Ca (0.068, 0.068, 0.136)
Ca (0.000, 0.500, 0.000)
Ca (0.864, 0.364, 0.727)
Ca (0.786, 0.786, 0.571)
Ca (0.136, 0.636, 0.273)
Ca (0.214, 0.214, 0.429)
Ca (0.364, 0.864, 0.727)
Ca (0.932, 0.932, 0.864)
O (0.000, 0.000, 0.000)
O (0.132, 0.132, 0.263)
O (0.868, 0.868, 0.737)

Calculated values
Spin magnetization, μB/atom: 0.0000
Raw total energy, eV/atom: -4.6481
Symmetry: I4/mmm (139)
Formation energy from raw total energies, eV/f.u.: -27.6
N(E_F), states/eV per cell: 5.81



# 13
Computed, not measured: a geometry-optimized Ca7Sb3O2 structure at the PBE level of DFT.

abc: 4.724 4.724 13.716
angles: 99.92 99.92 90.00
Fractional positions:
Ca (0.000, 0.000, 0.000)
Ca (0.405, 0.905, 0.811)
Ca (0.201, 0.201, 0.402)
Ca (0.095, 0.595, 0.189)
Ca (0.595, 0.095, 0.189)
Ca (0.905, 0.405, 0.811)
Ca (0.799, 0.799, 0.598)
Sb (0.500, 0.500, 0.000)
Sb (0.679, 0.679, 0.359)
Sb (0.321, 0.321, 0.641)
O (0.089, 0.089, 0.177)
O (0.911, 0.911, 0.823)

Calculated values
Spin magnetization, μB/atom: 0.0000
Raw total energy, eV/atom: -4.6555
Polymorph energy (0 for the lowest one), kJ/mol of atoms: 0.0
Symmetry: I4/mmm (139)
Formation energy from raw total energies, eV/f.u.: -19.6
N(E_F), states/eV per cell: 4.47



# 14
Computed, not measured: a geometry-optimized CaSbO2 structure at the PBE level of DFT.

abc: 5.131 5.131 6.819
angles: 67.90 67.90 90.00
Fractional positions:
Sb (0.000, 0.000, 0.000)
Sb (0.750, 0.250, 0.500)
Ca (0.250, 0.750, 0.500)
Ca (0.500, 0.500, 0.000)
O (0.624, 0.125, 0.250)
O (0.375, 0.376, 0.750)
O (0.126, 0.625, 0.250)
O (0.875, 0.874, 0.750)

Calculated values
Spin magnetization, μB/atom: 0.0000
Raw total energy, eV/atom: -5.5449
Symmetry: I-42d (122)
Formation energy from raw total energies, eV/f.u.: -6.1
N(E_F), states/eV per cell: 3.22



# 15
Computed, not measured: a geometry-optimized Ca2SbO6 structure at the PBE level of DFT.

abc: 3.736 5.753 6.098
angles: 118.15 98.72 90.00
Each line ends with the local moment (μB).
Fractional positions:
O (0.840, 0.626, 0.713)  0.08
O (0.500, 0.782, 0.000)  0.20
O (0.840, 0.087, 0.713)  0.08
O (0.160, 0.913, 0.287)  0.08
O (0.160, 0.374, 0.287)  0.08
O (0.500, 0.218, 0.000)  0.20
Ca (0.673, 0.667, 0.334)  0.00
Ca (0.327, 0.333, 0.666)  0.00
Sb (0.000, 0.000, 0.000)  -0.01

Calculated values
Spin magnetization, μB/atom: 0.0915
Raw total energy, eV/atom: -5.8204
Symmetry: C2/m (12)
Formation energy from raw total energies, eV/f.u.: -14.5
N(E_F), states/eV per cell: 2.04



# 16
Computed, not measured: a geometry-optimized CaSbO structure at the PBE level of DFT.

abc: 3.468 6.848 11.018
angles: 90.14 90.00 90.00
Fractional positions:
O (0.750, 0.375, 0.397)
O (0.250, 0.125, 0.603)
O (0.250, 0.625, 0.603)
O (0.750, 0.875, 0.397)
Ca (0.250, 0.625, 0.393)
Ca (0.750, 0.375, 0.607)
Ca (0.750, 0.875, 0.607)
Ca (0.250, 0.125, 0.393)
Sb (0.750, 0.625, 0.922)
Sb (0.250, 0.375, 0.078)
Sb (0.750, 0.125, 0.922)
Sb (0.250, 0.875, 0.078)

Calculated values
Spin magnetization, μB/atom: 0.0000
Raw total energy, eV/atom: -5.3851
Symmetry: P2_1/m (11)
Formation energy from raw total energies, eV/f.u.: -5.1
N(E_F), states/eV per cell: 1.90



# 17
Computed, not measured: a geometry-optimized CaSb2O2 structure at the PBE level of DFT.

abc: 3.914 3.914 7.059
angles: 73.90 73.90 90.00
Fractional positions:
O (0.602, 0.602, 0.797)
O (0.398, 0.398, 0.203)
Sb (0.750, 0.250, 0.500)
Sb (0.250, 0.750, 0.500)
Ca (0.000, 0.000, 0.000)

Calculated values
Spin magnetization, μB/atom: 0.0000
Raw total energy, eV/atom: -4.4597
Polymorph energy (0 for the lowest one), kJ/mol of atoms: 80.7
Symmetry: I4/mmm (139)
Formation energy from raw total energies, eV/f.u.: -2.1
N(E_F), states/eV per cell: 2.07



# 18
Computed, not measured: a geometry-optimized Ca2Sb3O8 structure at the PBE level of DFT.

abc: 6.653 6.653 5.445
angles: 72.13 72.13 61.88
Fractional positions:
O (0.093, 0.681, 0.426)
O (0.605, 0.605, 0.068)
O (0.106, 0.106, 0.110)
O (0.894, 0.894, 0.890)
O (0.907, 0.319, 0.574)
O (0.319, 0.907, 0.574)
O (0.681, 0.093, 0.426)
O (0.395, 0.395, 0.932)
Ca (0.720, 0.720, 0.345)
Ca (0.280, 0.280, 0.655)
Sb (0.733, 0.267, 0.000)
Sb (0.000, 0.000, 0.500)
Sb (0.267, 0.733, 0.000)

Calculated values
Spin magnetization, μB/atom: 0.0000
Raw total energy, eV/atom: -6.1158
Polymorph energy (0 for the lowest one), kJ/mol of atoms: 0.0
Symmetry: C2/m (12)
Formation energy from raw total energies, eV/f.u.: -23.5
N(E_F), states/eV per cell: 3.82



# 19
Computed, not measured: a geometry-optimized Ca2SbO4 structure at the PBE level of DFT.

abc: 3.428 5.901 6.243
angles: 120.29 105.94 90.00
Fractional positions:
O (0.119, 0.838, 0.238)
O (0.881, 0.162, 0.762)
O (0.622, 0.252, 0.244)
O (0.378, 0.748, 0.756)
Sb (0.000, 0.000, 0.000)
Ca (0.310, 0.294, 0.620)
Ca (0.690, 0.706, 0.380)

Calculated values
Spin magnetization, μB/atom: 0.0000
Raw total energy, eV/atom: -6.1738
Symmetry: C2/m (12)
Formation energy from raw total energies, eV/f.u.: -15.3
N(E_F), states/eV per cell: 1.28